The following is a DFT calculation (PBE) of BaY2Cu after structural relaxation.

Computed properties:
Formation energy, kJ per mole of atoms: 11.4
Magnetic moment, μB per atom: 0.000
DOS(E_F), states/eV/cell: 6.54
Energy above the lowest structure with this stoichiometry, meV per atom: 80
Uncorrected energy, eV per atom: -4.619

Cell lengths 9.8533, 9.8533, 9.8533 Å; angles 24.40, 24.40, 24.40 degrees
Atoms (fractional coordinates):
Cu 0.7500 0.7500 0.7500
Ba 0.2500 0.2500 0.2500
Y 0.0329 0.0329 0.0329
Y 0.4671 0.4671 0.4671

---

The following is a DFT calculation (PBE) of PmErPb2 after structural relaxation.

Computed properties:
Formation energy, kJ per mole of atoms: -42.5
Magnetic moment, μB per atom: 0.000
DOS(E_F), states/eV/cell: 4.16
Uncorrected energy, eV per atom: -4.623

Cell lengths 3.5868, 5.7367, 5.7367 Å; angles 103.38, 90.21, 90.21 degrees
Atoms (fractional coordinates):
Pb 0.0000 0.5000 0.0000
Pb 0.0000 0.0000 0.5000
Pm 0.5000 0.0000 0.0000
Er 0.5000 0.5000 0.5000

---

The following is a DFT calculation (PBE) of TaAl3I after structural relaxation.

Computed properties:
Magnetic moment, μB per atom: 0.692
DOS(E_F), states/eV/cell: 4.05
Energy above the lowest structure with this stoichiometry, meV per atom: 0
Uncorrected energy, eV per atom: -4.012
Formation energy without anion corrections, meV/atom: 914

Cell lengths 5.2970, 5.2970, 5.2970 Å; angles 90.00, 90.00, 90.00 degrees
Last column: magnetic moment on the atom in μB.
Atoms (fractional coordinates):
I 0.5000 0.5000 0.5000  0.28
Ta 0.0000 0.0000 0.0000  1.27
Al 0.0000 0.0000 0.5000  0.05
Al 0.0000 0.5000 0.0000  0.08
Al 0.5000 0.0000 0.0000  0.05

---

The following is a DFT calculation (PBE) of CoAg2Sb after structural relaxation.

Computed properties:
Magnetic moment, μB per atom: 0.433
DOS(E_F), states/eV/cell: 3.20
Uncorrected energy, eV per atom: -3.832
Formation energy without anion corrections, meV/atom: 401

Cell lengths 3.0049, 3.0049, 8.3247 Å; angles 90.00, 90.00, 90.01 degrees
Last column: magnetic moment on the atom in μB.
Atoms (fractional coordinates):
Sb 0.5000 0.5000 0.7500  -0.01
Co 0.5000 0.5000 0.2500  1.82
Ag 0.0000 0.0000 0.4561  0.00
Ag 0.0000 0.0000 0.0439  0.00

---

The following is a DFT calculation (PBE) of TiPbS2 after structural relaxation.

Computed properties:
Magnetic moment, μB per atom: 0.490
DOS(E_F), states/eV/cell: 2.28
Uncorrected energy, eV per atom: -5.250
Formation energy without anion corrections, meV/atom: -286

Cell lengths 6.8776, 6.8776, 5.9393 Å; angles 54.62, 54.62, 90.00 degrees
Last column: magnetic moment on the atom in μB.
Atoms (fractional coordinates):
Ti 0.2500 0.2500 0.5000  1.55
Ti 0.7500 0.7500 0.5000  1.55
S 0.2500 0.2500 0.0000  -0.02
S 0.7500 0.2500 0.0000  -0.02
S 0.7500 0.7500 0.0000  -0.02
S 0.2500 0.7500 0.0000  -0.02
Pb 0.7500 0.2500 0.5000  0.05
Pb 0.2500 0.7500 0.5000  0.05

---

The following is a DFT calculation (PBE) of K4TlHg after structural relaxation.

Computed properties:
Formation energy, kJ per mole of atoms: -8.4
Magnetic moment, μB per atom: 0.000
DOS(E_F), states/eV/cell: 9.61
Energy above the lowest structure with this stoichiometry, meV per atom: 27
Uncorrected energy, eV per atom: -1.264

Cell lengths 6.7628, 10.5464, 9.8554 Å; angles 116.06, 101.18, 106.20 degrees
Atoms (fractional coordinates):
K 0.2758 0.6197 0.8516
K 0.7691 0.6962 0.6343
K 0.2309 0.3038 0.3657
K 0.7242 0.3803 0.1484
K 0.0758 0.2319 0.8516
K 0.3651 0.9381 0.6343
K 0.6349 0.0619 0.3657
K 0.9242 0.7681 0.1484
Tl 0.3732 0.6232 0.2464
Tl 0.6268 0.3768 0.7536
Hg 0.7496 0.9996 0.9992
Hg 0.2504 0.0004 0.0008